VASP calculation (PBE-GGA) on an optimized crystal structure of SrIn2Re.

Computed properties:
- M_tot: 0.0 μB per cell
- SG: R-3m (166)
- Total DFT energy (no corrections): -0.31943 Ry/atom

Cell lengths 10.0876, 10.0876, 10.0876 Å; angles 19.08, 19.08, 19.08 degrees
Closest atoms and distances in Å follow each position.
Atoms (fractional coordinates):
Sr: 0.0000 0.0000 0.0000  6 Sr 3.34, 6 In 3.45
In: 0.2369 0.2369 0.2369  3 Re 2.84
In: 0.7631 0.7631 0.7631  3 Re 2.84
Re: 0.5000 0.5000 0.5000  6 In 2.84